! CsGa2Te2 | Alexandria | PBE | optimized geometry; values from VASP
! - E: -2.8705 eV/atom
! - Fermi-level density of states: 2.46 states/eV/f.u.
! - Uncorrected formation energy: -0.23 eV per atom
! - Crystal system: tetragonal
&SYSTEM
  ibrav = 0, nat = 10, ntyp = 3
/
ATOMIC_SPECIES
Cs 132.91 Cs.upf
Ga 69.72 Ga.upf
Te 127.60 Te.upf
CELL_PARAMETERS angstrom
9.5067 0.0000 0.0000
0.0000 9.5067 0.0000
0.0000 0.0000 3.8836
ATOMIC_POSITIONS angstrom
Cs 0.0000 0.0000 0.0000
Cs 4.7533 4.7533 0.0000
Ga 1.1494 3.6039 1.9418
Ga 3.6039 8.3573 1.9418
Ga 5.9027 1.1494 1.9418
Ga 8.3573 5.9027 1.9418
Te 1.3050 6.0583 0.0000
Te 3.4484 1.3050 0.0000
Te 6.0583 8.2017 0.0000
Te 8.2017 3.4484 0.0000